HfNbPt6 | Alexandria | PBE | relaxed; space group = No. 123; DOS(E_F) = 5.32 states/eV per cell; energy of formation = -803 meV per atom
1.0
4.013 0.000 0.000
0.000 4.013 0.000
0.000 0.000 8.060
Hf Nb Pt
1 1 6
Cartesian
0.000 0.000 0.000
0.000 0.000 4.030
2.006 2.006 0.000
2.006 2.006 4.030
2.006 0.000 2.036
2.006 0.000 6.024
0.000 2.006 2.036
0.000 2.006 6.024

Hf4TeH | Alexandria | PBE | relaxed; space group = No. 15; DOS(E_F) = 7.62 states/eV per cell; uncorrected energy = -7.88 eV per atom
1.0
6.295 0.525 0.000
-0.546 5.891 0.000
-2.874 -3.208 6.458
Hf Te H
8 2 2
Cartesian
-0.692 3.824 3.943
5.245 4.804 0.566
-0.419 0.878 2.515
-0.777 1.334 5.892
3.567 -0.616 2.515
3.294 2.329 3.943
-2.371 -1.596 5.892
3.651 1.874 0.566
1.301 3.077 1.889
1.574 0.131 4.569
4.721 0.393 1.264
-1.847 2.814 5.195